(1)
Material: NdErTcAg
Method: DFT, GGA-PBE
State: relaxed Values from VASP.

Output
- ΔH_f (0 K): -4.8 kJ/mol of atoms
- Magnetization: 0.0 μB per cell
- Symmetry: F-43m (216)

```
&SYSTEM
  ibrav = 0, nat = 4, ntyp = 4
/
ATOMIC_SPECIES
Tc 98.00 Tc.upf
Ag 107.87 Ag.upf
Nd 144.24 Nd.upf
Er 167.26 Er.upf
ATOMIC_POSITIONS crystal
Tc 0.750 0.750 0.750
Ag 0.250 0.250 0.250
Nd 0.000 0.000 0.000
Er 0.500 0.500 0.500
CELL_PARAMETERS angstrom
-1.218 -4.521 1.842
3.584 -3.441 0.795
1.303 -1.235 4.700
```

(2)
Material: Nd2ErAgTe5
Method: DFT, GGA-PBE
State: relaxed Values from VASP.

Output
- Energy relative to the elements, uncorrected: -1.18 eV/atom
- Magnetization: 0.0 μB per cell
- Symmetry: Cmc2_1 (36)

```
&SYSTEM
  ibrav = 0, nat = 18, ntyp = 4
/
ATOMIC_SPECIES
Te 127.60 Te.upf
Nd 144.24 Nd.upf
Ag 107.87 Ag.upf
Er 167.26 Er.upf
ATOMIC_POSITIONS crystal
Te 0.499 0.997 0.779
Nd 0.889 0.778 0.187
Te 0.714 0.428 0.167
Te 0.644 0.289 0.499
Te 0.957 0.914 0.577
Te 0.043 0.086 0.077
Ag 0.431 0.862 0.460
Te 0.501 0.003 0.279
Ag 0.569 0.138 0.960
Nd 0.874 0.749 0.805
Te 0.356 0.711 0.999
Er 0.192 0.384 0.009
Er 0.808 0.616 0.509
Te 0.286 0.572 0.667
Te 0.695 0.390 0.841
Nd 0.111 0.222 0.687
Te 0.305 0.610 0.341
Nd 0.126 0.251 0.305
CELL_PARAMETERS angstrom
-3.164 -2.116 2.179
4.179 -7.056 -5.199
8.452 -2.352 9.987
```

(3)
Material: NdErTlAg
Method: DFT, GGA-PBE
State: relaxed Values from VASP.

Output
- ΔH_f (0 K): -30.8 kJ/mol of atoms
- Magnetization: 0.2 μB per cell
- Symmetry: F-43m (216)
- Energy relative to the lowest polymorph listed for this composition: 13.9 meV per atom

```
&SYSTEM
  ibrav = 0, nat = 4, ntyp = 4
/
ATOMIC_SPECIES
Er 167.26 Er.upf
Nd 144.24 Nd.upf
Ag 107.87 Ag.upf
Tl 204.38 Tl.upf
ATOMIC_POSITIONS crystal
Er 0.500 0.500 0.500
Nd 0.000 0.000 0.000
Ag 0.250 0.250 0.250
Tl 0.750 0.750 0.750
CELL_PARAMETERS angstrom
5.332 0.000 0.000
2.666 4.617 0.000
2.666 1.539 4.353
```

(4)
Material: NdErTlAg
Method: DFT, GGA-PBE
State: relaxed Values from VASP.

Output
- ΔH_f (0 K): -32.1 kJ/mol of atoms
- Magnetization: 0.1 μB per cell
- Symmetry: P4mm (99)
- Energy relative to the lowest polymorph listed for this composition: 0.0 meV per atom

```
&SYSTEM
  ibrav = 0, nat = 4, ntyp = 4
/
ATOMIC_SPECIES
Ag 107.87 Ag.upf
Nd 144.24 Nd.upf
Tl 204.38 Tl.upf
Er 167.26 Er.upf
ATOMIC_POSITIONS crystal
Ag 0.500 0.500 0.583
Nd 0.000 0.000 0.847
Tl 0.500 0.500 0.122
Er 0.000 0.000 0.377
CELL_PARAMETERS angstrom
-3.663 -0.060 0.340
0.219 -3.208 1.789
0.570 3.847 6.828
```

(5)
Material: Nd2ErTl2Ag2
Method: DFT, GGA-PBE
State: relaxed Values from VASP.

Output
- ΔH_f (0 K): -17.5 kJ/mol of atoms
- Magnetization: 0.0 μB per cell
- Symmetry: R-3m (166)

```
&SYSTEM
  ibrav = 0, nat = 7, ntyp = 4
/
ATOMIC_SPECIES
Ag 107.87 Ag.upf
Nd 144.24 Nd.upf
Tl 204.38 Tl.upf
Er 167.26 Er.upf
ATOMIC_POSITIONS crystal
Ag 0.613 0.613 0.162
Nd 0.124 0.124 0.628
Tl 0.263 0.263 0.211
Nd 0.876 0.876 0.372
Er 0.000 0.000 0.000
Tl 0.737 0.737 0.789
Ag 0.387 0.387 0.838
CELL_PARAMETERS angstrom
-3.986 -1.546 2.379
0.461 -2.827 3.966
-0.910 6.058 7.442
```

(6)
Material: NdErTmAg
Method: DFT, GGA-PBE
State: relaxed Values from VASP.

Output
- ΔH_f (0 K): -13.3 kJ/mol of atoms
- Magnetization: 0.0 μB per cell
- Symmetry: P4mm (99)
- Energy relative to the lowest polymorph listed for this composition: 0.0 meV per atom

```
&SYSTEM
  ibrav = 0, nat = 4, ntyp = 4
/
ATOMIC_SPECIES
Nd 144.24 Nd.upf
Er 167.26 Er.upf
Ag 107.87 Ag.upf
Tm 168.93 Tm.upf
ATOMIC_POSITIONS crystal
Nd 0.000 0.000 0.072
Er 0.500 0.500 0.778
Ag 0.000 0.000 0.569
Tm 0.500 0.500 0.366
CELL_PARAMETERS angstrom
-2.991 -1.529 1.239
-0.464 -1.642 -3.147
4.703 -6.861 2.887
```

(7)
Material: NdEr2TmAg4
Method: DFT, GGA-PBE
State: relaxed Values from VASP.

Output
- ΔH_f (0 K): -29.8 kJ/mol of atoms
- Magnetization: 0.0 μB per cell
- Symmetry: R-3m (166)

```
&SYSTEM
  ibrav = 0, nat = 8, ntyp = 4
/
ATOMIC_SPECIES
Nd 144.24 Nd.upf
Ag 107.87 Ag.upf
Er 167.26 Er.upf
Tm 168.93 Tm.upf
ATOMIC_POSITIONS crystal
Nd 0.000 0.000 0.000
Ag 0.620 0.620 0.139
Ag 0.380 0.380 0.861
Er 0.249 0.249 0.254
Tm 0.500 0.500 0.500
Ag 0.127 0.127 0.618
Ag 0.873 0.873 0.382
Er 0.751 0.751 0.746
CELL_PARAMETERS angstrom
-3.538 3.331 -1.663
-4.716 -0.034 2.035
-0.263 6.669 5.983
```

(8)
Material: NdErTmAg
Method: DFT, GGA-PBE
State: relaxed Values from VASP.

Output
- ΔH_f (0 K): 5.4 kJ/mol of atoms
- Magnetization: 0.0 μB per cell
- Symmetry: F-43m (216)
- Energy relative to the lowest polymorph listed for this composition: 193.7 meV per atom

```
&SYSTEM
  ibrav = 0, nat = 4, ntyp = 4
/
ATOMIC_SPECIES
Er 167.26 Er.upf
Tm 168.93 Tm.upf
Ag 107.87 Ag.upf
Nd 144.24 Nd.upf
ATOMIC_POSITIONS crystal
Er 0.000 0.000 0.000
Tm 0.750 0.750 0.750
Ag 0.250 0.250 0.250
Nd 0.500 0.500 0.500
CELL_PARAMETERS angstrom
-4.728 2.269 -1.282
-4.383 -3.082 -0.659
-3.988 0.166 3.635
```

(9)
Material: NdErTm2Ag4
Method: DFT, GGA-PBE
State: relaxed Values from VASP.

Output
- ΔH_f (0 K): -29.9 kJ/mol of atoms
- Magnetization: 0.0 μB per cell
- Symmetry: R-3m (166)

```
&SYSTEM
  ibrav = 0, nat = 8, ntyp = 4
/
ATOMIC_SPECIES
Ag 107.87 Ag.upf
Tm 168.93 Tm.upf
Nd 144.24 Nd.upf
Er 167.26 Er.upf
ATOMIC_POSITIONS crystal
Ag 0.127 0.127 0.618
Tm 0.751 0.751 0.746
Ag 0.379 0.379 0.862
Ag 0.621 0.621 0.138
Nd 0.000 0.000 0.000
Ag 0.873 0.873 0.382
Er 0.500 0.500 0.500
Tm 0.249 0.249 0.254
CELL_PARAMETERS angstrom
-4.999 -0.575 1.006
-1.536 -1.278 4.727
-2.709 7.565 3.951
```

(10)
Material: NdYErAg
Method: DFT, GGA-PBE
State: relaxed Values from VASP.

Output
- ΔH_f (0 K): -13.4 kJ/mol of atoms
- Magnetization: 0.0 μB per cell
- Symmetry: P4mm (99)

```
&SYSTEM
  ibrav = 0, nat = 4, ntyp = 4
/
ATOMIC_SPECIES
Nd 144.24 Nd.upf
Er 167.26 Er.upf
Y 88.91 Y.upf
Ag 107.87 Ag.upf
ATOMIC_POSITIONS crystal
Nd 0.000 0.000 0.075
Er 0.500 0.500 0.366
Y 0.500 0.500 0.779
Ag 0.000 0.000 0.565
CELL_PARAMETERS angstrom
3.614 0.000 0.000
0.000 3.614 0.000
0.000 0.000 8.805
```

(11)
Material: NdErZnAg
Method: DFT, GGA-PBE
State: relaxed Values from VASP.

Output
- ΔH_f (0 K): -28.5 kJ/mol of atoms
- Magnetization: 0.0 μB per cell
- Symmetry: F-43m (216)
- Energy relative to the lowest polymorph listed for this composition: 19.3 meV per atom

```
&SYSTEM
  ibrav = 0, nat = 4, ntyp = 4
/
ATOMIC_SPECIES
Ag 107.87 Ag.upf
Nd 144.24 Nd.upf
Er 167.26 Er.upf
Zn 65.41 Zn.upf
ATOMIC_POSITIONS crystal
Ag 0.250 0.250 0.250
Nd 0.500 0.500 0.500
Er 0.000 0.000 0.000
Zn 0.750 0.750 0.750
CELL_PARAMETERS angstrom
5.166 0.000 0.000
2.583 4.474 0.000
2.583 1.491 4.218
```

(12)
Material: NdErZnAg
Method: DFT, GGA-PBE
State: relaxed Values from VASP.

Output
- ΔH_f (0 K): -30.3 kJ/mol of atoms
- Magnetization: 0.0 μB per cell
- Symmetry: P4mm (99)
- Energy relative to the lowest polymorph listed for this composition: 0.0 meV per atom

```
&SYSTEM
  ibrav = 0, nat = 4, ntyp = 4
/
ATOMIC_SPECIES
Er 167.26 Er.upf
Ag 107.87 Ag.upf
Zn 65.41 Zn.upf
Nd 144.24 Nd.upf
ATOMIC_POSITIONS crystal
Er 0.000 0.000 0.363
Ag 0.500 0.500 0.131
Zn 0.500 0.500 0.588
Nd 0.000 0.000 0.846
CELL_PARAMETERS angstrom
-2.020 2.364 -1.872
1.720 -0.947 -3.052
-5.012 -5.234 -1.202
```